CsMgFeF6: optimized geometry, GGA+U.

Lattice parameters (Å, degrees): 7.4297 7.4297 7.4297 120.66 119.44 89.92
Last column: nearest neighbours and their distance in Å.
Fractional positions:
1 Cs 0.3619 0.1119 0.2500  6 F 3.10-3.38
2 Cs 0.6381 0.8881 0.7500  6 F 3.10-3.38
3 Mg 0.0000 0.0000 0.5000  6 F 1.97-2.03
4 Mg 0.0000 0.5000 0.0000  6 F 1.97-2.03
5 Fe 0.0000 0.5000 0.5000  6 F 1.94-2.00
6 Fe 0.5000 0.5000 0.0000  6 F 1.94-2.00
7 F 0.0658 0.4327 0.2549  1 Fe 1.94, 1 Mg 2.03
8 F 0.0658 0.8109 0.6332  1 Fe 1.94, 1 Mg 2.03
9 F 0.0669 0.8169 0.2500  2 Mg 1.97
10 F 0.3171 0.5671 0.7500  2 Fe 2.00
11 F 0.3222 0.1891 0.7549  1 Fe 1.94, 1 Mg 2.03
12 F 0.3222 0.5673 0.1332  1 Fe 1.94, 1 Mg 2.03
13 F 0.6778 0.4327 0.8668  1 Fe 1.94, 1 Mg 2.03
14 F 0.6778 0.8109 0.2451  1 Fe 1.94, 1 Mg 2.03
15 F 0.6829 0.4329 0.2500  2 Fe 2.00
16 F 0.9331 0.1831 0.7500  2 Mg 1.97
17 F 0.9342 0.1891 0.3668  1 Fe 1.94, 1 Mg 2.03
18 F 0.9342 0.5673 0.7451  1 Fe 1.94, 1 Mg 2.03

Summary:
**Symmetry**: No. 74
**ΔE to the lowest computed polymorph**: 0 meV/atom
**Crystal system**: orthorhombic
**Fermi-level density of states**: 0.00 states/eV/cell
**Calculated volume**: 16.10 Å³/atom